Entry 1:
Entry from Alexandria: a geometry-optimized BaCo2Br structure (PBE).

Calculated values
energy above the most stable polymorph in this dataset: 398 meV/atom
formation energy (no corrections): 364.6 meV per atom

abc: 4.4243 4.4243 16.4514
angles: 90.00 90.00 120.00
Space group R-3m (No. 166, hexagonal axes)
Asymmetric unit:
Ba 0.0000 0.0000 0.0000 x3
Co 0.0000 0.0000 0.1796 x6
Br 0.0000 0.0000 0.5000 x3



Entry 2:
Entry from Alexandria: a geometry-optimized BaCo2Br structure (PBE).

Calculated values
energy above the most stable polymorph in this dataset: 0 meV/atom
formation energy (no corrections): -33.5 meV per atom

abc: 4.0328 4.0328 7.3538
angles: 90.00 90.00 120.00
Space group P3m1 (No. 156)
Asymmetric unit:
Ba 0.0000 0.0000 0.0000 x1
Co 0.3333 0.6667 0.3044 x1
Co 0.6667 0.3333 0.3481 x1
Br 0.6667 0.3333 0.6857 x1



Entry 3:
Entry from Alexandria: a geometry-optimized Ba2CoBr structure (PBE).

Calculated values
energy above the most stable polymorph in this dataset: 91 meV/atom
formation energy (no corrections): -379.2 meV per atom

abc: 5.191 4.169 12.475
angles: 90.00 90.00 90.00
Space group Amm2 (No. 38)
Asymmetric unit:
Ba 0.000 0.000 0.000 x2
Ba 0.500 0.000 0.270 x2
Co 0.500 0.000 0.491 x2
Br 0.000 0.000 0.731 x2



Entry 4:
Entry from Alexandria: a geometry-optimized BaCoBr4 structure (PBE).

Calculated values
energy above the most stable polymorph in this dataset: 0 meV/atom
formation energy (no corrections): -1224.2 meV per atom

abc: 10.324 10.324 8.629
angles: 90.00 90.00 90.00
Space group I4_1/amd (No. 141, origin choice 2)
Asymmetric unit:
Ba 0.000 0.250 0.375 x4
Co 0.000 0.250 0.875 x4
Br 0.000 0.070 0.699 x16



Entry 5:
Entry from Alexandria: a geometry-optimized BaCoBr structure (PBE).

Calculated values
energy above the most stable polymorph in this dataset: 150 meV/atom
formation energy (no corrections): -553.5 meV per atom

abc: 10.388 4.072 9.806
angles: 90.00 115.43 90.00
Space group Cm (No. 8)
Asymmetric unit:
Ba 0.000 0.000 0.000 x2
Ba 0.007 0.000 0.520 x2
Co 0.283 0.500 0.688 x2
Co 0.371 0.000 0.699 x2
Br 0.137 0.500 0.829 x2
Br 0.387 0.000 0.208 x2



Entry 6:
Entry from Alexandria: a geometry-optimized BaCoBr structure (PBE).

Calculated values
energy above the most stable polymorph in this dataset: 119 meV/atom
formation energy (no corrections): -584.0 meV per atom

abc: 5.135 4.159 9.270
angles: 90.00 95.71 90.00
Space group Pm (No. 6)
Asymmetric unit:
Ba 0.000 0.000 0.000 x1
Ba 0.444 0.500 0.449 x1
Co 0.874 0.500 0.251 x1
Co 0.946 0.000 0.346 x1
Br 0.483 0.000 0.727 x1
Br 0.501 0.500 0.063 x1



Q: The lowest formation energy (no corrections) belongs to which entry?
A: BaCoBr4



Q: Number 5 is which compound?
A: BaCoBr



Q: energy above the most stable polymorph in this dataset of number 5 (BaCoBr)?
A: 150 meV/atom



Repeat the sixth record exactly.
Entry from Alexandria: a geometry-optimized BaCoBr structure (PBE).

Calculated values
energy above the most stable polymorph in this dataset: 119 meV/atom
formation energy (no corrections): -584.0 meV per atom

abc: 5.135 4.159 9.270
angles: 90.00 95.71 90.00
Space group Pm (No. 6)
Asymmetric unit:
Ba 0.000 0.000 0.000 x1
Ba 0.444 0.500 0.449 x1
Co 0.874 0.500 0.251 x1
Co 0.946 0.000 0.346 x1
Br 0.483 0.000 0.727 x1
Br 0.501 0.500 0.063 x1